No. 1
The following is a DFT calculation (PBEsol) of a relaxed BeSbAs2 crystal.

Geometry as POSCAR:
```
BeSbAs2
1.0
-2.940 -2.084 -1.082
2.316 -2.290 -1.885
0.545 -3.028 4.349
Sb As Be
1 2 1
Direct
0.000 0.000 0.500
0.000 0.500 0.000
0.500 0.000 0.000
0.500 0.500 0.500
```

Values from the calculation:
**SG**: P4/mmm, No. 123
**DOS at the Fermi energy**: 1.7 states/eV/cell
**Calculated total energy**: -4.176 eV per atom

---

No. 2
The following is a DFT calculation (PBEsol) of a relaxed CaHg3F crystal.

Geometry as POSCAR:
```
CaHg3F
1.0
-2.976 -3.642 1.696
1.128 -2.783 -3.997
3.856 -1.997 2.478
Ca Hg F
1 3 1
Direct
0.500 0.500 0.500
0.000 0.500 0.000
0.000 0.000 0.500
0.500 0.000 0.000
0.000 0.000 0.000
```

Values from the calculation:
**SG**: Pm-3m, No. 221
**DOS at the Fermi energy**: 1.4 states/eV/cell
**Calculated total energy**: -1.665 eV per atom

---

No. 3
The following is a DFT calculation (PBEsol) of a relaxed TcRu2Pt crystal.

Geometry as POSCAR:
```
TcRu2Pt
1.0
2.676 0.000 0.000
0.000 3.839 0.000
0.000 0.000 5.383
Ru Tc Pt
2 1 1
Direct
0.000 0.000 0.015
0.500 0.500 0.249
0.000 0.000 0.487
0.500 0.500 0.750
```

Values from the calculation:
**SG**: Pmm2, No. 25
**DOS at the Fermi energy**: 3.9 states/eV/cell
**Calculated total energy**: -9.665 eV per atom

---

No. 4
The following is a DFT calculation (PBEsol) of a relaxed FeTcNi2 crystal.

Geometry as POSCAR:
```
FeTcNi2
1.0
-2.472 -0.117 -0.337
-0.524 -0.494 4.019
-0.278 4.422 0.508
Ni Tc Fe
2 1 1
Direct
0.000 0.000 0.032
0.000 0.500 0.723
0.500 0.000 0.533
0.500 0.500 0.212
```

Values from the calculation:
**SG**: Pmm2, No. 25
**DOS at the Fermi energy**: 3.7 states/eV/cell
**Calculated total energy**: -8.130 eV per atom

---

No. 5
The following is a DFT calculation (PBEsol) of a relaxed YMgSi2 crystal.

Geometry as POSCAR:
```
YMgSi2
1.0
3.741 0.000 0.000
0.000 4.176 0.000
0.000 -2.088 5.029
Y Si Mg
1 2 1
Direct
0.000 0.481 0.961
0.000 0.197 0.395
0.500 0.042 0.084
0.500 0.764 0.528
```

Values from the calculation:
**SG**: Amm2, No. 38
**DOS at the Fermi energy**: 1.7 states/eV/cell
**Calculated total energy**: -5.502 eV per atom

---

No. 6
The following is a DFT calculation (PBEsol) of a relaxed Li2VO2F2 crystal.

Geometry as POSCAR:
```
Li2VO2F2
1.0
-3.850 -1.058 4.191
4.329 -1.896 3.497
1.006 7.638 2.853
Li V O F
8 4 8 8
Direct
0.755 0.241 0.634
0.755 0.759 0.366
0.745 0.000 0.000
0.494 0.246 0.244
0.494 0.754 0.756
0.251 0.000 0.500
0.258 0.250 0.862
0.258 0.750 0.138
0.968 0.260 0.228
0.968 0.740 0.772
0.775 0.500 0.000
0.258 0.500 0.500
0.997 0.264 0.010
0.997 0.736 0.990
0.754 0.489 0.232
0.754 0.511 0.768
0.781 0.040 0.253
0.781 0.960 0.747
0.219 0.524 0.716
0.219 0.476 0.284
0.524 0.259 0.000
0.524 0.741 0.000
0.480 0.257 0.506
0.480 0.743 0.494
0.241 0.968 0.744
0.241 0.032 0.256
0.014 0.253 0.493
0.014 0.747 0.507
```

Values from the calculation:
**SG**: P2, No. 3
**DOS at the Fermi energy**: 4.9 states/eV/cell
**Calculated total energy**: -6.611 eV per atom

---

No. 7
The following is a DFT calculation (PBEsol) of a relaxed FePd3Se crystal.

Geometry as POSCAR:
```
FePd3Se
1.0
4.519 0.000 0.000
0.000 4.519 0.000
0.000 0.000 4.519
Se Pd Fe
1 3 1
Direct
0.500 0.500 0.500
0.000 0.500 0.000
0.000 0.000 0.500
0.500 0.000 0.000
0.000 0.000 0.000
```

Values from the calculation:
**SG**: Pm-3m, No. 221
**DOS at the Fermi energy**: 4.4 states/eV/cell
**Calculated total energy**: -5.303 eV per atom

---

No. 8
The following is a DFT calculation (PBEsol) of a relaxed TcTe2As crystal.

Geometry as POSCAR:
```
TcTe2As
1.0
3.085 0.000 0.000
0.000 3.085 0.000
0.000 0.000 9.237
As Te Tc
1 2 1
Direct
0.000 0.000 0.575
0.000 0.000 0.920
0.500 0.500 0.268
0.500 0.500 0.737
```

Values from the calculation:
**SG**: P4mm, No. 99
**DOS at the Fermi energy**: 2.2 states/eV/cell
**Calculated total energy**: -5.847 eV per atom

---

What did the fifth record say?
The following is a DFT calculation (PBEsol) of a relaxed YMgSi2 crystal.

Geometry as POSCAR:
```
YMgSi2
1.0
3.741 0.000 0.000
0.000 4.176 0.000
0.000 -2.088 5.029
Y Si Mg
1 2 1
Direct
0.000 0.481 0.961
0.000 0.197 0.395
0.500 0.042 0.084
0.500 0.764 0.528
```

Values from the calculation:
**SG**: Amm2, No. 38
**DOS at the Fermi energy**: 1.7 states/eV/cell
**Calculated total energy**: -5.502 eV per atom

---

> Among the records above, which one has the lowest DOS at the Fermi energy?

CaHg3F

---

> The lowest calculated total energy belongs to which entry?

TcRu2Pt

---

> The lowest DOS at the Fermi energy belongs to which entry?

CaHg3F